# SrCa (PBE, relaxed)
data_SrCa
_chemical_formula_sum 'Sr4 Ca4'
_cell_length_a 10.3540
_cell_length_b 10.3540
_cell_length_c 10.3540
_cell_angle_alpha 92.08
_cell_angle_beta 92.08
_cell_angle_gamma 158.01
_symmetry_space_group_name_H-M 'P 1'
_symmetry_Int_Tables_number 1
loop_
_symmetry_equiv_pos_as_xyz
'x,y,z'
loop_
_atom_site_label
_atom_site_type_symbol
_atom_site_fract_x
_atom_site_fract_y
_atom_site_fract_z
Sr1 Sr 0.1178 0.8261 0.9438
Sr2 Sr 0.1739 0.1178 0.2917
Sr3 Sr 0.8261 0.8822 0.7083
Sr4 Sr 0.8822 0.1739 0.0562
Ca1 Ca 0.0797 0.3651 0.4447
Ca2 Ca 0.3651 0.9203 0.2854
Ca3 Ca 0.6349 0.0797 0.7146
Ca4 Ca 0.9203 0.6349 0.5553
# - volume (Å³ per cell) = 407.92
# - mass density (g/cm3) = 2.08
# - E_form (meV/atom) = 159
# - energy above the lowest structure with this stoichiometry (eV/atom) = 0.146